DFT (PBE) results for a relaxed InNiSn2 crystal.

Results
Volume ... 357.7 Å³ per cell
E ... -3.79 eV/atom
Spin magnetization ... 0.05 μB per formula unit

Cell lengths 7.0984, 7.0984, 7.0984 Å; angles 90.00, 90.00, 90.00 degrees
Closest atoms and distances in Å follow each position.
Space group F-43m (No. 216)
Symmetry-distinct sites (fractional):
In: 0.0000 0.0000 0.0000 [4 per cell]  4 Sn 3.07, 4 Ni 3.07
Ni: 0.2500 0.2500 0.2500 [4 per cell]  4 In 3.07, 4 Sn 3.07
Sn: 0.0000 0.0000 0.5000 [4 per cell]  4 Ni 3.07, 4 Sn 3.07
Sn: 0.2500 0.2500 0.7500 [4 per cell]  4 In 3.07, 4 Sn 3.07